CdCu2Au: relaxed, GGA-PBE.

Values from the calculation:
Space-group type = No. 216
Total energy = -3.067 eV/atom

Cell lengths 4.4880, 4.4880, 4.4880 Å; angles 60.00, 60.00, 60.00 degrees
Last column: nearest neighbours and their distance in Å.
Atoms (fractional coordinates):
Cd: 0.0000 0.0000 0.0000  4 Cu 2.75, 4 Au 2.75
Cu: 0.5000 0.5000 0.5000  4 Au 2.75, 4 Cu 2.75
Cu: 0.7500 0.7500 0.7500  4 Cu 2.75, 4 Cd 2.75
Au: 0.2500 0.2500 0.2500  4 Cu 2.75, 4 Cd 2.75